Sr2AgAs | PBE | optimized geometry

Computed properties:
Its space group is I-42d, No. 122. The energy relative to the elements comes out at -0.346 eV per atom.

Unit cell a=6.8717 b=6.8717 c=9.1445 alpha=67.93 beta=67.93 gamma=90.00
Closest atoms and distances in Å follow each position.
Sites, in units of the cell vectors:
1 As 0.5000 0.5000 0.0000  4 Sr 2.97
2 As 0.2500 0.7500 0.5000  4 Sr 2.97
3 Sr 0.5866 0.1250 0.2500  2 As 2.97, 2 Ag 3.26
4 Sr 0.3750 0.4134 0.7500  2 As 2.97, 2 Ag 3.26
5 Sr 0.8750 0.8366 0.7500  2 As 2.97, 2 Ag 3.26
6 Sr 0.1634 0.6250 0.2500  2 As 2.97, 2 Ag 3.26
7 Ag 0.7500 0.2500 0.5000  4 Sr 3.26
8 Ag 0.0000 0.0000 0.0000  4 Sr 3.26

=====

FeCuSb2 | PBE | optimized geometry

Computed properties:
Its space group is C2/m, No. 12. The value obtained for the formation energy (no corrections) is 0.275 eV per atom.

Unit cell a=4.2842 b=4.2842 c=5.8393 alpha=77.04 beta=77.04 gamma=47.00
Closest atoms and distances in Å follow each position.
Sites, in units of the cell vectors:
1 Cu 0.7500 0.7500 0.7500  6 Sb 2.73-2.82
2 Sb 0.5095 0.5095 0.4827  3 Fe 2.66-2.71, 3 Cu 2.73-2.82
3 Sb 0.9905 0.9905 0.0173  3 Fe 2.66-2.71, 3 Cu 2.73-2.82
4 Fe 0.2500 0.2500 0.2500  6 Sb 2.66-2.71